Density functional theory data (GGA+U) for a geometry-optimized TaNiNO2 structure.

a = 3.8952 Å, b = 3.8952 Å, c = 4.1896 Å
α = 90.00°, β = 90.00°, γ = 90.00°
Each line ends with the local moment (μB).
Sites, in units of the cell vectors:
1 O 0.0000 0.5000 0.0000  0.03
2 O 0.5000 0.0000 0.0000  0.03
3 Ta 0.0000 0.0000 0.0000  0.00
4 Ni 0.5000 0.5000 0.5000  1.71
5 N 0.0000 0.0000 0.5000  0.13

Summary:
For the total energy, the calculation gives -37.5 eV for the cell shown. Its crystal system is tetragonal.